[1]
{
  "formula": "BaTa2Pb",
  "functional": "PBE-GGA",
  "state": "relaxed",
  "cell": [[6.116, 0.009, 0.000], [-2.697, 5.490, 0.000], [0.000, 0.000, 3.012]],
  "species": ["Ba", "Ta", "Ta", "Pb"],
  "frac_coords": [[0.500, 0.000, 0.500], [0.000, 0.000, 0.000], [0.500, 0.500, 0.000], [0.000, 0.500, 0.500]]
}

[2]
{
  "formula": "BaTa2Pb",
  "functional": "PBE-GGA",
  "state": "relaxed",
  "cell": [[3.118, 0.000, 0.000], [0.000, 5.854, 0.000], [0.000, 0.000, 5.419]],
  "species": ["Ta", "Ta", "Ba", "Pb"],
  "frac_coords": [[0.500, 0.500, 0.000], [0.000, 0.000, 0.000], [0.500, 0.000, 0.500], [0.000, 0.500, 0.500]]
}

[3]
{
  "formula": "BaTa2VPb",
  "functional": "PBE-GGA",
  "state": "relaxed",
  "cell": [[4.783, 0.000, 0.000], [0.000, 5.933, 0.000], [0.000, 0.000, 4.783]],
  "species": ["Ta", "Ta", "V", "Pb", "Ba"],
  "frac_coords": [[0.000, 0.000, 0.500], [0.500, 0.000, 0.000], [0.000, 0.000, 0.000], [0.500, 0.500, 0.500], [0.000, 0.500, 0.000]]
}

Number 1: calculated formation energy 1.180 eV per atom, N(E_F) 1.014 states/eV/atom. Number 2: calculated formation energy 1.062 eV per atom, N(E_F) 1.101 states/eV/atom. Number 3: calculated formation energy 1.220 eV per atom, N(E_F) 1.597 states/eV/atom.